Record 1
A plane-wave DFT calculation with PBE-GGA was carried out for a relaxed Be2SbSe crystal.

a b c (Å): 3.3542 3.3542 7.1592
angles (deg): 90.00 90.00 90.00
Space group P4mm (No. 99)
Unique sites:
Be1 0.0000 0.0000 0.0000 (multiplicity 1)
Be2 0.5000 0.5000 0.1930 (multiplicity 1)
Sb1 0.0000 0.0000 0.3635 (multiplicity 1)
Se1 0.5000 0.5000 0.8941 (multiplicity 1)

Summary:
ΔE to the lowest computed polymorph (meV/atom): 287
Crystal system: tetragonal
Calculated volume (Å³ per cell): 81


Record 2
A plane-wave DFT calculation with PBE-GGA was carried out for a relaxed BeSbSe2 crystal.

a b c (Å): 6.4089 6.4089 9.1565
angles (deg): 90.00 90.00 90.00
Space group I-42d (No. 122)
Unique sites:
Be1 0.0000 0.0000 0.0000 (multiplicity 4)
Sb1 0.0000 0.0000 0.5000 (multiplicity 4)
Se1 0.1638 0.2500 0.1250 (multiplicity 8)

Summary:
ΔE to the lowest computed polymorph (meV/atom): 64
Crystal system: tetragonal
Calculated volume (Å³ per cell): 376


Q: Number 1 is which compound?
A: Be2SbSe